## LiNpVO4 (PBE with a Hubbard U)

Data for a relaxed LiNpVO4 crystal.

```
14
Lattice="-0.295 6.985 -0.643 -3.007 -3.281 4.064 6.804 0.241 -0.505" Properties=species:S:1:pos:R:3 pbc="T T T"
V 5.121 0.205 -0.126
V -1.619 3.740 3.042
O 3.280 0.247 1.182
O 4.904 5.073 -0.726
O 5.021 2.292 -0.470
O -1.520 1.652 3.386
O 3.179 3.802 1.515
O 0.221 3.697 1.734
O -1.402 -1.129 3.642
O 0.322 0.143 1.401
Li 1.898 -1.520 1.779
Li 1.751 1.972 1.458
Np -0.147 3.492 -0.321
Np 3.254 3.613 -0.574
```

Total magnetization ... 10.000 μB/cell
Fermi-level density of states ... 4.990 states/eV per cell
Symmetry ... No. 74
Volume ... 12.031 Å³/atom
Electronic total energy ... -8.385 eV/atom